[1]
{"formula": "Ca2InRuN", "functional": "PBE-GGA", "state": "optimized geometry", "lattice_angstrom": [[5.078, 0.000, 0.000], [0.000, 5.078, 0.000], [0.000, 0.000, 3.866]], "species": ["Ca", "Ca", "In", "Ru", "N"], "fractional_positions": [[0.000, 0.500, 0.000], [0.500, 0.000, 0.000], [0.000, 0.000, 0.500], [0.500, 0.500, 0.500], [0.500, 0.500, 0.000]], "crystal_system": "tetragonal", "e_form_raw_ev_per_atom": -0.49, "spacegroup": "No. 123"}



[2]
{"formula": "MnGa2Os", "functional": "PBE-GGA", "state": "optimized geometry", "lattice_angstrom": [[0.000, 3.067, 3.067], [3.067, 0.000, 3.067], [3.067, 3.067, 0.000]], "species": ["Mn", "Ga", "Ga", "Os"], "fractional_positions": [[0.000, 0.000, 0.000], [0.250, 0.250, 0.250], [0.750, 0.750, 0.750], [0.500, 0.500, 0.500]], "delta_e_f_kj_per_mol_atoms": -2.14, "crystal_system": "cubic", "polymorph_energy_mev_per_atom": 0, "spacegroup": "No. 225"}



[3]
{"formula": "MnVCuRh", "functional": "PBE-GGA", "state": "optimized geometry", "lattice_angstrom": [[0.000, 2.968, 2.968], [2.968, 0.000, 2.968], [2.968, 2.968, 0.000]], "species": ["Mn", "V", "Cu", "Rh"], "fractional_positions": [[0.000, 0.000, 0.000], [0.750, 0.750, 0.750], [0.250, 0.250, 0.250], [0.500, 0.500, 0.500]], "delta_e_f_kj_per_mol_atoms": -10.01, "crystal_system": "cubic", "spacegroup": "No. 216"}



[4]
{"formula": "Pm6SmTmTh2", "functional": "PBE-GGA", "state": "optimized geometry", "lattice_angstrom": [[4.523, -7.484, 0.000], [4.523, 7.484, 0.000], [-2.276, 0.000, 10.038]], "species": ["Pm", "Pm", "Pm", "Pm", "Pm", "Pm", "Pm", "Pm", "Pm", "Pm", "Pm", "Pm", "Sm", "Sm", "Tm", "Tm", "Th", "Th", "Th", "Th"], "fractional_positions": [[0.015, 0.569, 0.177], [0.110, 0.739, 0.550], [0.261, 0.890, 0.950], [0.309, 0.510, 0.384], [0.431, 0.985, 0.323], [0.490, 0.691, 0.116], [0.510, 0.309, 0.884], [0.569, 0.015, 0.677], [0.691, 0.490, 0.616], [0.739, 0.110, 0.050], [0.890, 0.261, 0.450], [0.985, 0.431, 0.823], [0.009, 0.991, 0.250], [0.991, 0.009, 0.750], [0.405, 0.595, 0.750], [0.595, 0.405, 0.250], [0.183, 0.271, 0.043], [0.271, 0.183, 0.543], [0.729, 0.817, 0.457], [0.817, 0.729, 0.957]], "delta_e_f_kj_per_mol_atoms": 14.83, "crystal_system": "monoclinic", "spacegroup": "No. 15"}



[5]
{"formula": "CdRu2N", "functional": "PBE-GGA", "state": "optimized geometry", "lattice_angstrom": [[-3.186, 3.186, 2.961], [3.186, -3.186, 2.961], [3.186, 3.186, -2.961]], "species": ["Cd", "Cd", "Ru", "Ru", "Ru", "Ru", "N", "N"], "fractional_positions": [[0.000, 0.000, 0.000], [0.750, 0.250, 0.500], [0.249, 0.625, 0.124], [0.375, 0.499, 0.624], [0.501, 0.125, 0.876], [0.875, 0.751, 0.376], [0.250, 0.750, 0.500], [0.500, 0.500, 0.000]], "crystal_system": "tetragonal", "e_form_raw_ev_per_atom": 0.36, "polymorph_energy_mev_per_atom": 0, "spacegroup": "No. 122"}



[6]
{"formula": "TaNbOs3", "functional": "PBE-GGA", "state": "optimized geometry", "lattice_angstrom": [[4.682, 0.000, 0.000], [0.000, 4.682, 0.000], [0.000, 0.000, 4.682]], "species": ["Ta", "Nb", "Os", "Os", "Os"], "fractional_positions": [[0.000, 0.000, 0.000], [0.500, 0.500, 0.500], [0.000, 0.000, 0.500], [0.000, 0.500, 0.000], [0.500, 0.000, 0.000]], "delta_e_f_kj_per_mol_atoms": 192.46, "crystal_system": "cubic", "polymorph_energy_mev_per_atom": 0, "spacegroup": "No. 221"}



It is found that the magnetic moment values, taken in the order of the records, are 0.00, 3.02, 1.91, 0.00, 0.00, 0.00 μB per formula unit.